# PBE-GGA MnFe2W, relaxed
data_MnFe2W
_chemical_formula_sum 'Mn2 Fe4 W2'
_symmetry_space_group_name_H-M 'C 1 2/m 1'
_symmetry_Int_Tables_number 12
_cell_length_a 5.0286
_cell_length_b 8.2849
_cell_length_c 2.5927
_cell_angle_alpha 90.00
_cell_angle_beta 109.45
_cell_angle_gamma 90.00
loop_
_symmetry_equiv_pos_as_xyz
'x,y,z'
'-x,-y,-z'
'-x,y,-z'
'x,-y,z'
'x+1/2,y+1/2,z'
'-x+1/2,-y+1/2,-z'
'-x+1/2,y+1/2,-z'
'x+1/2,-y+1/2,z'
loop_
_atom_site_label
_atom_site_fract_x
_atom_site_fract_y
_atom_site_fract_z
Mn1 0.0000 0.0000 0.0000
Fe1 0.2500 0.2500 0.5000
W1 0.0000 0.5000 0.0000
# - volume (A^3/atom) = 12.73
# - total magnetization (Bohr magnetons per cell) = 11.1
# - ρ (g/cm3) = 11.4
# - crystal system = monoclinic
# - energy relative to the lowest polymorph listed for this composition (meV/atom) = 87
# - DFT formation energy (eV/atom) = 0.13

***

# PBE-GGA Na4HgBr2, relaxed
data_Na4HgBr2
_chemical_formula_sum 'Na8 Hg2 Br4'
_symmetry_space_group_name_H-M 'I 4/m m m'
_symmetry_Int_Tables_number 139
_symmetry_space_group_name_Hall '-I 4 2'
_cell_length_a 5.7933
_cell_length_b 5.7933
_cell_length_c 15.4030
_cell_angle_alpha 90.00
_cell_angle_beta 90.00
_cell_angle_gamma 90.00
loop_
_atom_site_label
_atom_site_fract_x
_atom_site_fract_y
_atom_site_fract_z
Na1 0.0000 0.0000 0.2000
Na2 0.0000 0.5000 0.0000
Hg1 0.0000 0.0000 0.0000
Br1 0.0000 0.0000 0.3794
# - volume (A^3/atom) = 36.93
# - total magnetization (Bohr magnetons per cell) = 0.9
# - ρ (g/cm3) = 2.9
# - crystal system = tetragonal
# - ΔE_f (raw) (eV/f.u.) = -4.324

***

# PBE-GGA CaCePt2, relaxed
data_CaCePt2
_chemical_formula_sum 'Ca3 Ce3 Pt6'
_symmetry_space_group_name_H-M 'R -3 m'
_symmetry_Int_Tables_number 166
_symmetry_space_group_name_Hall '-R 3 2"'
_cell_length_a 4.0542
_cell_length_b 4.0542
_cell_length_c 20.9801
_cell_angle_alpha 90.00
_cell_angle_beta 90.00
_cell_angle_gamma 120.00
loop_
_atom_site_label
_atom_site_fract_x
_atom_site_fract_y
_atom_site_fract_z
Ca1 0.0000 0.0000 0.0000
Ce1 0.0000 0.0000 0.5000
Pt1 0.0000 0.0000 0.2441
# - volume (A^3/atom) = 24.89
# - total magnetization (Bohr magnetons per cell) = 0.1
# - ρ (g/cm3) = 9.5
# - crystal system = trigonal
# - energy relative to the lowest polymorph listed for this composition (meV/atom) = 73
# - DFT formation energy (eV/atom) = -0.94

***

# PBE-GGA KCdGaAu2, relaxed
data_KCdGaAu2
_chemical_formula_sum 'K2 Cd2 Ga2 Au4'
_symmetry_space_group_name_H-M 'I -4 m 2'
_symmetry_Int_Tables_number 119
_symmetry_space_group_name_Hall 'I -4 -2'
_cell_length_a 4.6109
_cell_length_b 4.6109
_cell_length_c 11.7734
_cell_angle_alpha 90.00
_cell_angle_beta 90.00
_cell_angle_gamma 90.00
loop_
_atom_site_label
_atom_site_fract_x
_atom_site_fract_y
_atom_site_fract_z
K1 0.0000 0.0000 0.0000
Cd1 0.0000 0.5000 0.7500
Ga1 0.0000 0.5000 0.2500
Au1 0.0000 0.0000 0.3818
# - volume (A^3/atom) = 25.03
# - total magnetization (Bohr magnetons per cell) = 0.0
# - ρ (g/cm3) = 8.2
# - crystal system = tetragonal
# - energy relative to the lowest polymorph listed for this composition (meV/atom) = 0
# - DFT formation energy (eV/atom) = -0.25

***

# PBE-GGA Fe2AuBr, relaxed
data_Fe2AuBr
_chemical_formula_sum 'Fe2 Au1 Br1'
_symmetry_space_group_name_H-M 'P 4/m m m'
_symmetry_Int_Tables_number 123
_symmetry_space_group_name_Hall '-P 4 2'
_cell_length_a 4.6708
_cell_length_b 4.6708
_cell_length_c 3.0395
_cell_angle_alpha 90.00
_cell_angle_beta 90.00
_cell_angle_gamma 90.00
loop_
_atom_site_label
_atom_site_fract_x
_atom_site_fract_y
_atom_site_fract_z
Fe1 0.0000 0.5000 0.0000
Au1 0.0000 0.0000 0.5000
Br1 0.5000 0.5000 0.5000
# - volume (A^3/atom) = 16.58
# - total magnetization (Bohr magnetons per cell) = 6.3
# - ρ (g/cm3) = 9.7
# - crystal system = tetragonal
# - ΔE_f (raw) (eV/f.u.) = 2.162

***

# PBE-GGA NaTlS2, relaxed
data_NaTlS2
_chemical_formula_sum 'Na4 Tl4 S8'
_symmetry_space_group_name_H-M 'C 1 2/c 1'
_symmetry_Int_Tables_number 15
_cell_length_a 8.3182
_cell_length_b 8.5095
_cell_length_c 6.3620
_cell_angle_alpha 90.00
_cell_angle_beta 101.14
_cell_angle_gamma 90.00
loop_
_symmetry_equiv_pos_as_xyz
'x,y,z'
'-x,-y,-z'
'-x,y,-z+1/2'
'x,-y,z+1/2'
'x+1/2,y+1/2,z'
'-x+1/2,-y+1/2,-z'
'-x+1/2,y+1/2,-z+1/2'
'x+1/2,-y+1/2,z+1/2'
loop_
_atom_site_label
_atom_site_fract_x
_atom_site_fract_y
_atom_site_fract_z
Na1 0.0000 0.0995 0.2500
Tl1 0.0000 0.3832 0.7500
S1 0.2505 0.1548 0.6101
# - volume (A^3/atom) = 27.61
# - total magnetization (Bohr magnetons per cell) = 0.0
# - ρ (g/cm3) = 4.4
# - crystal system = monoclinic
# - ΔE_f (raw) (eV/f.u.) = -1.835